{"formula": "BeAu2Se", "functional": "PBE", "state": "relaxed", "lattice_angstrom": [[7.674, 0.000, 0.000], [0.000, 2.874, 0.000], [-1.195, 0.000, 6.375]], "species": ["Be", "Be", "Au", "Au", "Au", "Au", "Se", "Se"], "frac_coords": [[0.000, 0.000, 0.000], [0.500, 0.500, 0.000], [0.211, 0.500, 0.189], [0.289, 0.000, 0.811], [0.711, 0.000, 0.189], [0.789, 0.500, 0.811], [0.000, 0.500, 0.500], [0.500, 0.000, 0.500]], "raw_formation_energy_kj_per_mol_atoms": 5.6, "total_energy_ev_per_atom": -3.3832, "relative_energy_mev_per_atom": 95.7}

{"formula": "Ti2InH4", "functional": "PBE", "state": "relaxed", "lattice_angstrom": [[-2.657, 2.661, 4.967], [2.657, -2.661, 4.967], [2.657, 2.661, -4.967]], "species": ["Ti", "Ti", "Ti", "Ti", "In", "In", "H", "H", "H", "H", "H", "H", "H", "H"], "frac_coords": [[0.250, 0.266, 0.016], [0.732, 0.750, 0.482], [0.750, 0.234, 0.484], [0.768, 0.250, 0.018], [0.125, 0.875, 0.250], [0.375, 0.625, 0.750], [0.042, 0.045, 0.972], [0.458, 0.431, 0.003], [0.546, 0.072, 0.005], [0.567, 0.542, 0.495], [0.572, 0.069, 0.528], [0.928, 0.455, 0.497], [0.933, 0.428, 0.974], [0.954, 0.958, 0.526]], "total_energy_ev_per_atom": -4.7408}